(1)
A plane-wave DFT calculation with PBE was carried out for an optimized crystal structure of TlCdSnCl6. Values from VASP.

Formation energy (no corrections) = -0.983 eV per atom
Total DFT energy (no corrections) = -0.1111 Ha/atom
D(E_F) = 10.71 states/eV per cell
Symmetry = No. 163

```
&SYSTEM
  ibrav = 0, nat = 18, ntyp = 4
/
ATOMIC_SPECIES
Tl 204.38 Tl.upf
Cd 112.41 Cd.upf
Sn 118.71 Sn.upf
Cl 35.45 Cl.upf
CELL_PARAMETERS angstrom
6.918 0.000 0.000
-3.459 5.991 0.000
0.000 0.000 14.051
ATOMIC_POSITIONS angstrom
Tl 0.000 0.000 0.000
Tl 0.000 0.000 7.025
Cd 0.000 3.994 3.513
Cd 3.459 1.997 10.538
Sn 0.000 3.994 10.538
Sn 3.459 1.997 3.513
Cl -1.270 2.218 9.020
Cl -2.173 3.782 12.056
Cl 1.270 2.218 12.056
Cl -0.903 5.982 9.020
Cl 2.556 0.010 1.994
Cl 1.286 2.209 5.031
Cl 2.173 3.782 9.020
Cl 0.903 5.982 12.056
Cl 4.362 0.010 5.031
Cl 2.189 3.773 1.994
Cl 5.632 2.209 1.994
Cl 4.729 3.773 5.031
```

=====

(2)
A plane-wave DFT calculation with PBE was carried out for an optimized crystal structure of TlPd2W. Values from VASP.

Energy of formation = 0.4448 eV per atom
Energy relative to the lowest polymorph listed for this composition = 0.00 eV/f.u.
Total DFT energy (no corrections) = -0.2198 Ha/atom
D(E_F) = 4.08 states/eV per cell
Symmetry = No. 225

```
&SYSTEM
  ibrav = 0, nat = 4, ntyp = 3
/
ATOMIC_SPECIES
Tl 204.38 Tl.upf
Pd 106.42 Pd.upf
W 183.84 W.upf
CELL_PARAMETERS angstrom
0.000 3.254 3.254
3.254 0.000 3.254
3.254 3.254 0.000
ATOMIC_POSITIONS angstrom
Tl 0.000 0.000 0.000
Pd 1.627 1.627 1.627
Pd 4.880 4.880 4.880
W 3.254 3.254 3.254
```

=====

(3)
A plane-wave DFT calculation with PBE was carried out for an optimized crystal structure of LaZn2Pt6. Values from VASP.

Energy of formation = -0.3025 eV per atom
Total DFT energy (no corrections) = -0.1896 Ha/atom
D(E_F) = 5.88 states/eV per cell
Symmetry = No. 227

```
&SYSTEM
  ibrav = 0, nat = 18, ntyp = 3
/
ATOMIC_SPECIES
La 138.91 La.upf
Zn 65.41 Zn.upf
Pt 195.08 Pt.upf
CELL_PARAMETERS angstrom
0.000 5.675 5.675
5.675 0.000 5.675
5.675 5.675 0.000
ATOMIC_POSITIONS angstrom
La 1.419 1.419 1.419
La 9.931 9.931 9.931
Zn 5.675 2.838 2.838
Zn 2.838 5.675 2.838
Zn 2.838 2.838 5.675
Zn 5.675 5.675 5.675
Pt 4.256 4.256 1.364
Pt 4.256 1.364 4.256
Pt 7.148 4.256 4.256
Pt 7.094 7.094 4.202
Pt 7.094 4.202 7.094
Pt 9.986 7.094 7.094
Pt 1.364 4.256 4.256
Pt 4.256 7.148 4.256
Pt 4.256 4.256 7.148
Pt 4.202 7.094 7.094
Pt 7.094 9.986 7.094
Pt 7.094 7.094 9.986
```

=====

(4)
A plane-wave DFT calculation with PBE was carried out for an optimized crystal structure of Mg2In3Ag7. Values from VASP.

Energy of formation = -0.0622 eV per atom
Total DFT energy (no corrections) = -0.0983 Ha/atom
D(E_F) = 2.56 states/eV per cell
Symmetry = No. 2

```
&SYSTEM
  ibrav = 0, nat = 12, ntyp = 3
/
ATOMIC_SPECIES
Mg 24.30 Mg.upf
In 114.82 In.upf
Ag 107.87 Ag.upf
CELL_PARAMETERS angstrom
5.053 0.000 0.000
1.903 4.924 0.000
2.261 -0.398 9.658
ATOMIC_POSITIONS angstrom
Mg 1.367 1.588 1.188
Mg 7.849 2.938 8.470
In 2.082 2.263 4.829
In 3.470 -0.087 7.831
In 5.746 4.613 1.827
Ag 3.099 4.763 3.384
Ag 3.270 3.645 0.699
Ag 4.689 2.291 6.415
Ag 3.657 -0.199 4.829
Ag 4.527 2.235 3.243
Ag 5.946 0.881 8.959
Ag 6.117 -0.237 6.274
```

=====

(5)
A plane-wave DFT calculation with PBE was carried out for an optimized crystal structure of NiIrPt2. Values from VASP.

Energy of formation = 0.0240 eV per atom
Energy relative to the lowest polymorph listed for this composition = 0.19 eV/f.u.
Total DFT energy (no corrections) = -0.2446 Ha/atom
D(E_F) = 7.00 states/eV per cell
Symmetry = No. 25

```
&SYSTEM
  ibrav = 0, nat = 4, ntyp = 3
/
ATOMIC_SPECIES
Ni 58.69 Ni.upf
Ir 192.22 Ir.upf
Pt 195.08 Pt.upf
CELL_PARAMETERS angstrom
2.750 0.000 0.000
0.000 3.755 0.000
0.000 0.000 5.552
ATOMIC_POSITIONS angstrom
Ni 0.000 0.000 0.000
Ir 1.375 1.877 4.269
Pt 0.000 0.000 2.876
Pt 1.375 1.877 1.364
```

=====

(6)
A plane-wave DFT calculation with PBE was carried out for an optimized crystal structure of RbFe3Co. Values from VASP.

Energy of formation = 1.1124 eV per atom
Energy relative to the lowest polymorph listed for this composition = 0.00 eV/f.u.
Total DFT energy (no corrections) = -0.2051 Ha/atom
D(E_F) = 4.15 states/eV per cell
Symmetry = No. 221

```
&SYSTEM
  ibrav = 0, nat = 5, ntyp = 3
/
ATOMIC_SPECIES
Rb 85.47 Rb.upf
Fe 55.84 Fe.upf
Co 58.93 Co.upf
CELL_PARAMETERS angstrom
4.632 0.000 0.000
0.000 4.632 0.000
0.000 0.000 4.632
ATOMIC_POSITIONS angstrom
Rb 0.000 0.000 0.000
Fe 0.000 2.316 2.316
Fe 2.316 0.000 2.316
Fe 2.316 2.316 0.000
Co 2.316 2.316 2.316
```

=====

(7)
A plane-wave DFT calculation with PBE was carried out for an optimized crystal structure of YP. Values from VASP.

Energy of formation = -0.9894 eV per atom
Total DFT energy (no corrections) = -0.2545 Ha/atom
Symmetry = No. 164

```
&SYSTEM
  ibrav = 0, nat = 12, ntyp = 2
/
ATOMIC_SPECIES
Y 88.91 Y.upf
P 30.97 P.upf
CELL_PARAMETERS angstrom
4.704 0.000 0.000
-2.352 4.074 0.000
0.000 0.000 22.019
ATOMIC_POSITIONS angstrom
Y 0.000 0.000 4.897
Y 0.000 0.000 17.122
Y 0.000 2.716 2.273
Y 0.000 2.716 12.317
Y 2.352 1.358 9.702
Y 2.352 1.358 19.747
P 0.000 0.000 2.134
P 0.000 0.000 19.885
P 0.000 2.716 5.033
P 0.000 2.716 9.556
P 2.352 1.358 12.464
P 2.352 1.358 16.986
```

=====

(8)
A plane-wave DFT calculation with PBE was carried out for an optimized crystal structure of MoOsPd2. Values from VASP.

Energy of formation = 1.6190 eV per atom
Energy relative to the lowest polymorph listed for this composition = 4.31 eV/f.u.
Total DFT energy (no corrections) = -0.2386 Ha/atom
D(E_F) = 7.45 states/eV per cell
Symmetry = No. 122

```
&SYSTEM
  ibrav = 0, nat = 8, ntyp = 3
/
ATOMIC_SPECIES
Mo 95.94 Mo.upf
Os 190.23 Os.upf
Pd 106.42 Pd.upf
CELL_PARAMETERS angstrom
-2.793 2.793 5.709
2.793 -2.793 5.709
2.793 2.793 -5.709
ATOMIC_POSITIONS angstrom
Mo 0.000 0.000 0.000
Mo 0.000 2.793 2.855
Os 2.793 0.000 2.855
Os 0.000 0.000 5.709
Pd 1.396 -1.372 4.282
Pd 1.421 1.396 1.427
Pd 1.396 4.164 -1.427
Pd 1.372 1.396 7.137
```

=====

(9)
A plane-wave DFT calculation with PBE was carried out for an optimized crystal structure of Pa4Si2H. Values from VASP.

Total DFT energy (no corrections) = -0.2841 Ha/atom
D(E_F) = 12.86 states/eV per cell
Symmetry = No. 139

```
&SYSTEM
  ibrav = 0, nat = 7, ntyp = 3
/
ATOMIC_SPECIES
Pa 231.04 Pa.upf
Si 28.09 Si.upf
H 1.01 H.upf
CELL_PARAMETERS angstrom
-2.159 2.159 7.660
2.159 -2.159 7.660
2.159 2.159 -7.660
ATOMIC_POSITIONS angstrom
Pa 2.159 0.000 0.000
Pa 0.000 0.000 2.626
Pa 0.000 2.159 0.000
Pa 0.000 0.000 12.695
Si 0.000 0.000 5.543
Si 0.000 0.000 9.778
H 0.000 0.000 0.000
```

=====

(10)
A plane-wave DFT calculation with PBE was carried out for an optimized crystal structure of Tl2Au2S. Values from VASP.

Formation energy (no corrections) = 0.036 eV per atom
Energy relative to the lowest polymorph listed for this composition = 0.26 eV/f.u.
Total DFT energy (no corrections) = -0.1120 Ha/atom
D(E_F) = 2.29 states/eV per cell
Symmetry = No. 127

```
&SYSTEM
  ibrav = 0, nat = 10, ntyp = 3
/
ATOMIC_SPECIES
Tl 204.38 Tl.upf
Au 196.97 Au.upf
S 32.06 S.upf
CELL_PARAMETERS angstrom
7.114 0.000 0.000
0.000 7.114 0.000
0.000 0.000 4.688
ATOMIC_POSITIONS angstrom
Tl 1.227 2.330 0.000
Tl 2.330 5.887 0.000
Tl 4.784 1.227 0.000
Tl 5.887 4.784 0.000
Au 0.995 4.552 2.344
Au 2.562 0.995 2.344
Au 4.552 6.119 2.344
Au 6.119 2.562 2.344
S 0.000 0.000 2.344
S 3.557 3.557 2.344
```

=====

(11)
A plane-wave DFT calculation with PBE was carried out for an optimized crystal structure of SrLi6Mg2. Values from VASP.

Energy of formation = 0.2445 eV per atom
Energy relative to the lowest polymorph listed for this composition = 1.69 eV/f.u.
Total DFT energy (no corrections) = -0.0578 Ha/atom
D(E_F) = 5.59 states/eV per cell
Symmetry = No. 225

```
&SYSTEM
  ibrav = 0, nat = 9, ntyp = 3
/
ATOMIC_SPECIES
Sr 87.62 Sr.upf
Li 6.94 Li.upf
Mg 24.30 Mg.upf
CELL_PARAMETERS angstrom
0.000 4.802 4.802
4.802 0.000 4.802
4.802 4.802 0.000
ATOMIC_POSITIONS angstrom
Sr 0.000 0.000 0.000
Li 4.802 4.802 2.902
Li 4.802 2.902 4.802
Li 6.702 4.802 4.802
Li 2.902 4.802 4.802
Li 4.802 6.702 4.802
Li 4.802 4.802 6.702
Mg 2.401 2.401 2.401
Mg 7.203 7.203 7.203
```

=====

(12)
A plane-wave DFT calculation with PBE was carried out for an optimized crystal structure of AsPb2W. Values from VASP.

Energy of formation = 0.9823 eV per atom
Total DFT energy (no corrections) = -0.1938 Ha/atom
D(E_F) = 3.81 states/eV per cell
Symmetry = No. 71

```
&SYSTEM
  ibrav = 0, nat = 4, ntyp = 3
/
ATOMIC_SPECIES
As 74.92 As.upf
Pb 207.20 Pb.upf
W 183.84 W.upf
CELL_PARAMETERS angstrom
-1.886 2.485 4.750
1.886 -2.485 4.750
1.886 2.485 -4.750
ATOMIC_POSITIONS angstrom
As 0.000 0.000 0.000
Pb 1.886 0.000 2.364
Pb 0.000 2.485 2.386
W 0.000 0.000 4.750
```

=====

(13)
A plane-wave DFT calculation with PBE was carried out for an optimized crystal structure of Li3MnP2. Values from VASP.

Energy of formation = -0.5137 eV per atom
Total DFT energy (no corrections) = -0.1765 Ha/atom
D(E_F) = 1.53 states/eV per cell
Symmetry = No. 115

```
&SYSTEM
  ibrav = 0, nat = 6, ntyp = 3
/
ATOMIC_SPECIES
Li 6.94 Li.upf
Mn 54.94 Mn.upf
P 30.97 P.upf
CELL_PARAMETERS angstrom
4.071 0.000 0.000
0.000 4.071 0.000
0.000 0.000 5.796
ATOMIC_POSITIONS angstrom
Li 0.000 0.000 0.000
Li 0.000 0.000 2.898
Li 2.036 2.036 0.000
Mn 2.036 2.036 2.898
P 0.000 2.036 4.221
P 2.036 0.000 1.575
```

=====

(14)
A plane-wave DFT calculation with PBE was carried out for an optimized crystal structure of Ce3TlFe. Values from VASP.

Energy of formation = -0.1686 eV per atom
Energy relative to the lowest polymorph listed for this composition = 0.00 eV/f.u.
Total DFT energy (no corrections) = -0.2166 Ha/atom
D(E_F) = 13.23 states/eV per cell
Symmetry = No. 221

```
&SYSTEM
  ibrav = 0, nat = 5, ntyp = 3
/
ATOMIC_SPECIES
Ce 140.12 Ce.upf
Tl 204.38 Tl.upf
Fe 55.84 Fe.upf
CELL_PARAMETERS angstrom
5.093 0.000 0.000
0.000 5.093 0.000
0.000 0.000 5.093
ATOMIC_POSITIONS angstrom
Ce 0.000 0.000 2.546
Ce 0.000 2.546 0.000
Ce 2.546 0.000 0.000
Tl 2.546 2.546 2.546
Fe 0.000 0.000 0.000
```

=====

(15)
A plane-wave DFT calculation with PBE was carried out for an optimized crystal structure of TlTcSn2Hg. Values from VASP.

Energy of formation = 0.1264 eV per atom
Total DFT energy (no corrections) = -0.1500 Ha/atom
D(E_F) = 0.49 states/eV per cell
Symmetry = No. 123

```
&SYSTEM
  ibrav = 0, nat = 5, ntyp = 4
/
ATOMIC_SPECIES
Tl 204.38 Tl.upf
Tc 98.00 Tc.upf
Sn 118.71 Sn.upf
Hg 200.59 Hg.upf
CELL_PARAMETERS angstrom
5.181 0.000 0.000
0.000 5.181 0.000
0.000 0.000 5.431
ATOMIC_POSITIONS angstrom
Tl 0.000 0.000 0.000
Tc 0.000 0.000 2.716
Sn 0.000 2.591 2.716
Sn 2.591 0.000 2.716
Hg 2.591 2.591 0.000
```

=====

(16)
A plane-wave DFT calculation with PBE was carried out for an optimized crystal structure of Ac3Pa5N12. Values from VASP.

Formation energy (no corrections) = -1.290 eV per atom
Total DFT energy (no corrections) = -0.3409 Ha/atom
D(E_F) = 46.22 states/eV per cell
Symmetry = No. 230

```
&SYSTEM
  ibrav = 0, nat = 80, ntyp = 3
/
ATOMIC_SPECIES
Ac 227.00 Ac.upf
Pa 231.04 Pa.upf
N 14.01 N.upf
CELL_PARAMETERS angstrom
-7.170 7.170 7.170
7.170 -7.170 7.170
7.170 7.170 -7.170
ATOMIC_POSITIONS angstrom
Ac 3.585 1.793 0.000
Ac 7.170 3.585 -1.793
Ac 1.793 0.000 3.585
Ac 8.963 0.000 3.585
Ac 0.000 3.585 1.793
Ac 3.585 -1.793 7.170
Ac 3.585 8.963 0.000
Ac 7.170 3.585 5.378
Ac -1.793 7.170 3.585
Ac 5.378 7.170 3.585
Ac 0.000 3.585 8.963
Ac 3.585 5.378 7.170
Pa 0.000 0.000 0.000
Pa 3.585 3.585 -3.585
Pa 3.585 -3.585 3.585
Pa 7.170 0.000 0.000
Pa 10.755 1.793 0.000
Pa 7.170 -3.585 5.378
Pa 5.378 7.170 -3.585
Pa 5.378 0.000 3.585
Pa 3.585 5.378 0.000
Pa 7.170 3.585 1.793
Pa -3.585 3.585 3.585
Pa 0.000 7.170 0.000
Pa 0.000 0.000 7.170
Pa 3.585 3.585 3.585
Pa 0.000 3.585 5.378
Pa 3.585 1.793 7.170
Pa 1.793 7.170 3.585
Pa 1.793 0.000 10.755
Pa 0.000 10.755 1.793
Pa -3.585 5.378 7.170
N 2.158 -0.349 0.681
N 8.597 4.266 -3.934
N 9.328 0.349 0.681
N 8.597 -2.904 3.934
N 6.821 -0.681 2.158
N 11.104 -1.427 2.904
N 0.681 2.158 -0.349
N 10.074 3.236 -1.427
N 4.266 3.934 -1.427
N 6.489 2.158 0.349
N -0.349 0.681 2.158
N 3.934 -1.427 4.266
N 6.821 6.489 -2.158
N 3.934 1.427 2.904
N 4.266 -3.934 8.597
N 6.489 -2.158 6.821
N 2.904 3.934 1.427
N 7.851 5.012 0.349
N 3.934 8.597 -2.904
N 6.821 0.681 5.012
N 2.158 6.821 -0.681
N 8.597 2.904 3.236
N 1.427 2.904 3.934
N 2.158 0.349 6.489
N 5.012 6.821 0.681
N 5.743 4.266 3.236
N -1.427 4.266 3.934
N 5.012 0.349 7.851
N 0.349 6.489 2.158
N 3.236 -1.427 10.074
N -0.681 2.158 6.821
N 4.266 3.236 5.743
N 0.681 9.328 0.349
N 2.904 11.104 -1.427
N 3.236 5.743 4.266
N 0.349 0.681 9.328
N 3.236 8.597 2.904
N 7.519 6.489 5.012
N 0.681 5.012 6.821
N 2.904 3.236 8.597
N -2.904 3.934 8.597
N 6.489 5.012 7.519
N -3.934 8.597 4.266
N 0.349 7.851 5.012
N -1.427 10.074 3.236
N -2.158 6.821 6.489
N -1.427 2.904 11.104
N 5.012 7.519 6.489
```

=====

(17)
A plane-wave DFT calculation with PBE was carried out for an optimized crystal structure of AlVCoCu. Values from VASP.

Energy of formation = -0.2458 eV per atom
Total DFT energy (no corrections) = -0.2301 Ha/atom
D(E_F) = 2.97 states/eV per cell
Symmetry = No. 216

```
&SYSTEM
  ibrav = 0, nat = 4, ntyp = 4
/
ATOMIC_SPECIES
Al 26.98 Al.upf
V 50.94 V.upf
Co 58.93 Co.upf
Cu 63.55 Cu.upf
CELL_PARAMETERS angstrom
0.000 2.912 2.912
2.912 0.000 2.912
2.912 2.912 0.000
ATOMIC_POSITIONS angstrom
Al 0.000 0.000 0.000
V 2.912 2.912 2.912
Co 1.456 1.456 1.456
Cu 4.368 4.368 4.368
```

=====

(18)
A plane-wave DFT calculation with PBE was carried out for an optimized crystal structure of TbY. Values from VASP.

Energy of formation = 0.0064 eV per atom
Energy relative to the lowest polymorph listed for this composition = 0.00 eV/f.u.
Total DFT energy (no corrections) = -0.2036 Ha/atom
D(E_F) = 6.80 states/eV per cell
Symmetry = No. 51

```
&SYSTEM
  ibrav = 0, nat = 4, ntyp = 2
/
ATOMIC_SPECIES
Tb 158.93 Tb.upf
Y 88.91 Y.upf
CELL_PARAMETERS angstrom
5.660 0.000 0.000
0.000 3.645 0.000
0.000 0.000 6.317
ATOMIC_POSITIONS angstrom
Tb 1.415 0.000 1.049
Tb 4.245 0.000 5.268
Y 1.415 1.823 4.214
Y 4.245 1.823 2.103
```

=====

(19)
A plane-wave DFT calculation with PBE was carried out for an optimized crystal structure of Be2VHRu. Values from VASP.

Total DFT energy (no corrections) = -0.2153 Ha/atom
D(E_F) = 3.26 states/eV per cell
Symmetry = No. 123

```
&SYSTEM
  ibrav = 0, nat = 5, ntyp = 4
/
ATOMIC_SPECIES
Be 9.01 Be.upf
V 50.94 V.upf
H 1.01 H.upf
Ru 101.07 Ru.upf
CELL_PARAMETERS angstrom
3.592 0.000 0.000
0.000 3.592 0.000
0.000 0.000 3.603
ATOMIC_POSITIONS angstrom
Be 0.000 1.796 0.000
Be 1.796 0.000 0.000
V 0.000 0.000 1.802
H 0.000 0.000 0.000
Ru 1.796 1.796 1.802
```

=====

(20)
A plane-wave DFT calculation with PBE was carried out for an optimized crystal structure of Ce2NdP. Values from VASP.

Energy of formation = -0.5811 eV per atom
Energy relative to the lowest polymorph listed for this composition = 0.00 eV/f.u.
Total DFT energy (no corrections) = -0.2239 Ha/atom
D(E_F) = 9.01 states/eV per cell
Symmetry = No. 160

```
&SYSTEM
  ibrav = 0, nat = 4, ntyp = 3
/
ATOMIC_SPECIES
Ce 140.12 Ce.upf
Nd 144.24 Nd.upf
P 30.97 P.upf
CELL_PARAMETERS angstrom
1.913 1.104 9.378
-1.913 1.104 9.378
0.000 -2.209 9.378
ATOMIC_POSITIONS angstrom
Ce 0.000 0.000 0.000
Ce 0.000 0.000 5.922
Nd 0.000 0.000 12.359
P 0.000 0.000 17.028
```